This record from Alexandria via LeMat-Bulk describes a relaxed structure of MoPAu2. The functional is PBE.

Output
Energy of formation   0.3064 eV/atom

Cell: 5.7424 5.7424 5.7424 Å, 147.86 136.66 54.97°
Positions (direct):
Au  0.9605  0.9605  0.0000
Au  0.2685  0.7685  0.5000
P  0.7215  0.2215  0.5000
Mo  0.5495  0.5495  0.0000